Y2FeSiTc | the Alexandria database | PBEsol | optimized geometry; formation energy (no corrections) = 0.664 eV per atom; DOS at the Fermi energy = 5.53 states/eV per cell
1.0
-2.067 2.679 2.168
-4.439 -1.942 -1.831
-0.173 -3.337 3.958
Y Si Tc Fe
2 1 1 1
direct
0.000 0.000 0.500
0.000 0.500 0.000
0.000 0.000 0.000
0.500 0.500 0.500
0.500 0.000 0.000